A plane-wave DFT calculation with PBE was carried out for crystalline TbGaNi3 at its relaxed geometry.

Geometry as extended XYZ:
```
10
Lattice="2.359 -7.852 0.000 2.359 7.852 0.000 0.000 0.000 4.565" Properties=species:S:1:pos:R:3 pbc="T T T"
Tb 2.359 6.446 3.424
Tb 2.359 -6.446 1.141
Ga 2.359 2.157 3.424
Ga 2.359 -2.157 1.141
Ni 1.247 3.672 1.141
Ni 1.247 -3.672 3.424
Ni 2.359 0.000 0.000
Ni 2.359 0.000 2.283
Ni 3.471 3.672 1.141
Ni 3.471 -3.672 3.424
```

**ΔH_f (0 K)**: -10 kJ per mole of atoms
**Energy relative to the lowest polymorph listed for this composition**: 238 meV per atom
**Total magnetization**: 0.000 μB/atom
**DOS at the Fermi energy**: 9.98 states/eV per cell
**Mass density**: 7.9 Mg/m³